Li2NdSm2Mg5: relaxed, PBE.

Values from the calculation:
As for the space-group type: P4/mbm. The total magnetization comes out at 0.00 μB per formula unit. For the total energy, the calculation gives -2.638 eV/atom.

Lattice parameters (Å, degrees): 4.440 10.763 10.763 90.00 90.00 90.00
Element x y z (fractional)
Sm (0.000, 0.680, 0.180)
Li (0.000, 0.114, 0.614)
Li (0.000, 0.386, 0.114)
Mg (0.500, 0.717, 0.438)
Mg (0.500, 0.562, 0.717)
Mg (0.500, 0.217, 0.062)
Mg (0.500, 0.062, 0.783)
Mg (0.500, 0.438, 0.283)
Sm (0.000, 0.820, 0.680)
Nd (0.000, 0.500, 0.500)
Mg (0.500, 0.938, 0.217)
Mg (0.500, 0.283, 0.562)
Sm (0.000, 0.180, 0.320)
Nd (0.000, 0.000, 0.000)
Sm (0.000, 0.320, 0.820)
Li (0.000, 0.614, 0.886)
Mg (0.500, 0.000, 0.500)
Mg (0.500, 0.783, 0.938)
Li (0.000, 0.886, 0.386)
Mg (0.500, 0.500, 0.000)